(A)
6
Lattice="5.507 0.000 0.000 0.000 1.770 9.298 0.000 -1.770 9.298" Properties=species:S:1:pos:R:3 comment="SiPb5 (PBE, optimized geometry)" vol_a3_per_atom=30.21 spacegroup=Amm2 pbc="T T T"
Si 0.000 0.000 0.000
Pb 0.000 0.000 6.853
Pb 0.000 0.000 11.743
Pb 2.753 0.000 3.219
Pb 2.753 0.000 9.295
Pb 2.753 0.000 15.357

(B)
6
Lattice="6.008 -1.807 0.000 6.008 1.807 0.000 -3.240 0.000 8.091" Properties=species:S:1:pos:R:3 comment="SiPb5 (PBE, optimized geometry)" vol_a3_per_atom=29.28 spacegroup=Cm pbc="T T T"
Si 0.000 0.000 0.000
Pb -1.605 0.000 4.058
Pb 1.756 0.000 5.664
Pb 3.888 0.000 1.190
Pb 4.905 0.000 6.929
Pb 7.041 0.000 2.434

(C)
6
Lattice="6.240 0.000 0.000 -3.120 5.404 0.000 0.000 0.000 5.949" Properties=species:S:1:pos:R:3 comment="SiPb5 (PBE, optimized geometry)" vol_a3_per_atom=33.44 spacegroup=P6/mmm pbc="T T T"
Si 0.000 0.000 0.000
Pb -1.560 2.702 2.975
Pb 0.000 3.603 0.000
Pb 3.120 0.000 2.975
Pb 1.560 2.702 2.975
Pb 3.120 1.801 0.000

(D)
6
Lattice="2.819 -7.830 0.000 2.819 7.830 0.000 0.000 0.000 3.988" Properties=species:S:1:pos:R:3 comment="SiPb5 (PBE, optimized geometry)" vol_a3_per_atom=29.34 spacegroup=Cmmm pbc="T T T"
Si 0.000 0.000 0.000
Pb 2.819 5.717 1.994
Pb 2.819 2.843 0.000
Pb 2.819 0.000 1.994
Pb 2.819 -2.843 0.000
Pb 2.819 -5.717 1.994

(B) wins, 0.028 eV/atom ahead of the next structure.

(A)
4
Lattice="0.000 3.733 3.733 3.733 0.000 3.733 3.733 3.733 0.000" Properties=species:S:1:pos:R:3 comment="SiSn2Pb (PBE, optimized geometry)" vol_a3_per_atom=26.00 spacegroup=Fm-3m pbc="T T T"
Si 0.000 0.000 0.000
Sn 1.866 1.866 1.866
Sn 5.599 5.599 5.599
Pb 3.733 3.733 3.733

(B)
4
Lattice="1.985 1.146 7.916 -1.985 1.146 7.916 0.000 -2.292 7.916" Properties=species:S:1:pos:R:3 comment="SiSn2Pb (PBE, optimized geometry)" vol_a3_per_atom=27.02 spacegroup=R-3m pbc="T T T"
Si 0.000 0.000 0.000
Sn 0.000 0.000 6.359
Sn 0.000 0.000 17.389
Pb 0.000 0.000 11.874

(B) wins, 0.172 eV/atom ahead of the next structure.